No. 1
Density functional theory data (GGA-PBE) for a relaxed Tl2Cr crystal.

a b c (Å): 10.481 3.299 8.720
angles (deg): 90.00 99.76 90.00
Atoms (fractional coordinates):
Tl (0.000, 0.000, 0.000)
Tl (0.058, 0.000, 0.463)
Tl (0.266, 0.500, 0.264)
Tl (0.356, 0.000, 0.662)
Tl (0.500, 0.500, 0.000)
Tl (0.558, 0.500, 0.463)
Tl (0.766, 0.000, 0.264)
Tl (0.856, 0.500, 0.662)
Cr (0.150, 0.500, 0.788)
Cr (0.267, 0.000, 0.975)
Cr (0.650, 0.000, 0.788)
Cr (0.767, 0.500, 0.975)

## Properties
- formation energy (eV per atom) = 0.424
- density of states at the Fermi level (states/eV/f.u.) = 1.55
- space group = Cm (8)
- energy above the most stable polymorph in this dataset (kcal/mol of atoms) = 0.00
- total magnetization (μB/f.u.) = 0.068
- DFT total energy (eV per atom) = -4.36

No. 2
Density functional theory data (GGA-PBE) for a relaxed LiYGe4 crystal.

a b c (Å): 5.551 5.551 5.551
angles (deg): 60.00 60.00 60.00
Atoms (fractional coordinates):
Li (0.000, 0.000, 0.000)
Y (0.250, 0.250, 0.250)
Ge (0.123, 0.626, 0.626)
Ge (0.626, 0.123, 0.626)
Ge (0.626, 0.626, 0.123)
Ge (0.626, 0.626, 0.626)

## Properties
- formation energy (eV per atom) = -0.284
- space group = F-43m (216)
- total magnetization (μB/f.u.) = 0.000
- DFT total energy (eV per atom) = -4.76

No. 3
Density functional theory data (GGA-PBE) for a relaxed Ac3In2 crystal.

a b c (Å): 13.330 5.757 9.985
angles (deg): 90.00 90.00 90.00
Atoms (fractional coordinates):
Ac (0.082, 0.250, 0.086)
Ac (0.088, 0.750, 0.581)
Ac (0.249, 0.750, 0.250)
Ac (0.251, 0.250, 0.750)
Ac (0.412, 0.250, 0.081)
Ac (0.418, 0.750, 0.586)
Ac (0.582, 0.250, 0.414)
Ac (0.588, 0.750, 0.919)
Ac (0.749, 0.750, 0.250)
Ac (0.751, 0.250, 0.750)
Ac (0.912, 0.250, 0.419)
Ac (0.918, 0.750, 0.914)
In (0.000, 0.250, 0.748)
In (0.000, 0.750, 0.252)
In (0.235, 0.750, 0.917)
In (0.265, 0.250, 0.417)
In (0.500, 0.250, 0.752)
In (0.500, 0.750, 0.248)
In (0.735, 0.750, 0.583)
In (0.765, 0.250, 0.083)

## Properties
- formation energy (eV per atom) = -0.264
- density of states at the Fermi level (states/eV/f.u.) = 6.19
- space group = Pnma (62)
- total magnetization (μB/f.u.) = 0.000
- DFT total energy (eV per atom) = -3.82

No. 4
Density functional theory data (GGA-PBE) for a relaxed Pm2Dy6Er3Mg crystal.

a b c (Å): 6.107 6.107 11.698
angles (deg): 95.01 95.01 120.03
Atoms (fractional coordinates):
Pm (0.167, 0.833, 0.000)
Pm (0.833, 0.167, 0.000)
Dy (0.084, 0.416, 0.748)
Dy (0.252, 0.252, 0.253)
Dy (0.416, 0.084, 0.748)
Dy (0.584, 0.916, 0.252)
Dy (0.748, 0.748, 0.747)
Dy (0.916, 0.584, 0.252)
Er (0.000, 0.000, 0.500)
Er (0.334, 0.666, 0.500)
Er (0.666, 0.334, 0.500)
Mg (0.500, 0.500, 0.000)

## Properties
- formation energy (eV per atom) = 0.021
- density of states at the Fermi level (states/eV/f.u.) = 16.57
- space group = C2/m (12)
- total magnetization (μB/f.u.) = 0.000
- DFT total energy (eV per atom) = -4.35

No. 5
Density functional theory data (GGA-PBE) for a relaxed AlPbSe2 crystal.

a b c (Å): 14.776 3.565 4.363
angles (deg): 90.00 101.19 90.00
Atoms (fractional coordinates):
Al (0.000, 0.000, 0.000)
Al (0.500, 0.500, 0.000)
Pb (0.248, 0.500, 0.489)
Pb (0.748, 0.000, 0.489)
Se (0.109, 0.500, 0.896)
Se (0.398, 0.000, 0.110)
Se (0.609, 0.000, 0.896)
Se (0.898, 0.500, 0.110)

## Properties
- density of states at the Fermi level (states/eV/f.u.) = 1.86
- space group = Cm (8)
- total magnetization (μB/f.u.) = 0.000
- DFT total energy (eV per atom) = -3.98

No. 6
Density functional theory data (GGA-PBE) for a relaxed HgBi3Au3 crystal.

a b c (Å): 7.919 7.919 7.919
angles (deg): 90.00 90.00 90.00
Atoms (fractional coordinates):
Hg (0.000, 0.000, 0.000)
Hg (0.500, 0.500, 0.500)
Bi (0.000, 0.250, 0.500)
Bi (0.000, 0.750, 0.500)
Bi (0.250, 0.500, 0.000)
Bi (0.500, 0.000, 0.250)
Bi (0.500, 0.000, 0.750)
Bi (0.750, 0.500, 0.000)
Au (0.000, 0.500, 0.250)
Au (0.000, 0.500, 0.750)
Au (0.250, 0.000, 0.500)
Au (0.500, 0.250, 0.000)
Au (0.500, 0.750, 0.000)
Au (0.750, 0.000, 0.500)

## Properties
- formation energy (eV per atom) = 0.203
- density of states at the Fermi level (states/eV/f.u.) = 3.04
- space group = Pm-3n (223)
- energy above the most stable polymorph in this dataset (kcal/mol of atoms) = 3.31
- total magnetization (μB/f.u.) = 0.000
- DFT total energy (eV per atom) = -2.91

No. 7
Density functional theory data (GGA-PBE) for a relaxed Ho2PaIrO8 crystal.

a b c (Å): 5.023 5.023 6.760
angles (deg): 90.00 90.00 91.41
Atoms (fractional coordinates):
Ho (0.000, 0.000, 0.243)
Ho (0.000, 0.000, 0.757)
Pa (0.500, 0.500, 0.500)
Ir (0.500, 0.500, 0.000)
O (0.197, 0.197, 0.500)
O (0.225, 0.225, 0.000)
O (0.316, 0.684, 0.233)
O (0.316, 0.684, 0.767)
O (0.684, 0.316, 0.233)
O (0.684, 0.316, 0.767)
O (0.775, 0.775, 0.000)
O (0.803, 0.803, 0.500)

## Properties
- density of states at the Fermi level (states/eV/f.u.) = 2.28
- space group = Cmmm (65)
- total magnetization (μB/f.u.) = 2.017
- DFT total energy (eV per atom) = -8.30

No. 8
Density functional theory data (GGA-PBE) for a relaxed Ac4PmS5 crystal.

a b c (Å): 7.367 7.367 7.367
angles (deg): 99.64 99.64 131.70
Atoms (fractional coordinates):
Ac (0.098, 0.300, 0.398)
Ac (0.300, 0.902, 0.202)
Ac (0.700, 0.098, 0.798)
Ac (0.902, 0.700, 0.602)
Pm (0.500, 0.500, 0.000)
S (0.000, 0.000, 0.000)
S (0.209, 0.598, 0.807)
S (0.402, 0.209, 0.611)
S (0.598, 0.791, 0.389)
S (0.791, 0.402, 0.193)

## Properties
- density of states at the Fermi level (states/eV/f.u.) = 4.90
- space group = I4/m (87)
- total magnetization (μB/f.u.) = 0.000
- DFT total energy (eV per atom) = -6.18

No. 9
Density functional theory data (GGA-PBE) for a relaxed Sm4SnBi3 crystal.

a b c (Å): 6.417 6.417 6.417
angles (deg): 90.00 90.00 90.00
Atoms (fractional coordinates):
Sm (0.000, 0.000, 0.000)
Sm (0.000, 0.500, 0.500)
Sm (0.500, 0.000, 0.500)
Sm (0.500, 0.500, 0.000)
Sn (0.500, 0.500, 0.500)
Bi (0.000, 0.000, 0.500)
Bi (0.000, 0.500, 0.000)
Bi (0.500, 0.000, 0.000)

## Properties
- formation energy (eV per atom) = -0.830
- density of states at the Fermi level (states/eV/f.u.) = 5.20
- space group = Pm-3m (221)
- total magnetization (μB/f.u.) = 0.000
- DFT total energy (eV per atom) = -5.15

No. 10
Density functional theory data (GGA-PBE) for a relaxed Be3BH crystal.

a b c (Å): 3.206 3.206 3.206
angles (deg): 90.00 90.00 90.00
Atoms (fractional coordinates):
Be (0.000, 0.000, 0.500)
Be (0.000, 0.500, 0.000)
Be (0.500, 0.000, 0.000)
B (0.500, 0.500, 0.500)
H (0.000, 0.000, 0.000)

## Properties
- density of states at the Fermi level (states/eV/f.u.) = 0.80
- space group = Pm-3m (221)
- energy above the most stable polymorph in this dataset (kcal/mol of atoms) = 1.43
- total magnetization (μB/f.u.) = 0.000
- DFT total energy (eV per atom) = -3.72

No. 11
Density functional theory data (GGA-PBE) for a relaxed LiZnPt2 crystal.

a b c (Å): 3.782 3.782 8.060
angles (deg): 90.00 90.00 90.00
Atoms (fractional coordinates):
Li (0.000, 0.000, 0.000)
Li (0.500, 0.500, 0.500)
Zn (0.000, 0.500, 0.250)
Zn (0.500, 0.000, 0.750)
Pt (0.000, 0.000, 0.500)
Pt (0.000, 0.500, 0.750)
Pt (0.500, 0.000, 0.250)
Pt (0.500, 0.500, 0.000)

## Properties
- formation energy (eV per atom) = -0.476
- density of states at the Fermi level (states/eV/f.u.) = 3.25
- space group = I-4m2 (119)
- total magnetization (μB/f.u.) = 0.000
- DFT total energy (eV per atom) = -4.29

No. 12
Density functional theory data (GGA-PBE) for a relaxed Fe3As5 crystal.

a b c (Å): 6.298 9.633 4.152
angles (deg): 90.00 90.00 90.00
Atoms (fractional coordinates):
Fe (0.000, 0.000, 0.000)
Fe (0.000, 0.209, 0.500)
Fe (0.000, 0.791, 0.500)
Fe (0.500, 0.291, 0.500)
Fe (0.500, 0.500, 0.000)
Fe (0.500, 0.709, 0.500)
As (0.000, 0.500, 0.000)
As (0.217, 0.000, 0.500)
As (0.250, 0.250, 0.000)
As (0.250, 0.750, 0.000)
As (0.283, 0.500, 0.500)
As (0.500, 0.000, 0.000)
As (0.717, 0.500, 0.500)
As (0.750, 0.250, 0.000)
As (0.750, 0.750, 0.000)
As (0.783, 0.000, 0.500)

## Properties
- formation energy (eV per atom) = 0.296
- density of states at the Fermi level (states/eV/f.u.) = 7.06
- space group = Cmmm (65)
- energy above the most stable polymorph in this dataset (kcal/mol of atoms) = 3.08
- total magnetization (μB/f.u.) = 5.429
- DFT total energy (eV per atom) = -5.78